Below is a relaxed DyTlIr crystal, with properties calculated at the PBE level.

Results
Energy, eV per atom: -5.0705
Space group: F-43m, No. 216
Density, g/cm³: 12.552

Cell and atoms, written as POSCAR:
```
DyTlIr
1.0
-3.237 -2.953 1.733
-4.341 1.562 0.957
-3.633 -1.349 -2.680
Dy Ir Tl
1 1 1
Direct
0.250 0.250 0.250
0.750 0.750 0.750
0.000 0.000 0.000
```